(1)
Entry from Alexandria via LeMat-Bulk: crystalline MnCdAs2Se at its relaxed geometry (PBE-GGA).

Output
Offset from the most stable computed form ... 0 meV per atom
Formation energy without anion corrections ... 0.2439 eV per atom

Unit cell a=4.490 b=4.490 c=5.460 alpha=90.00 beta=90.00 gamma=90.00
Fractional coordinates of all 5 atoms:
As 0.000 0.500 0.000
As 0.500 0.000 0.000
Mn 0.000 0.000 0.000
Se 0.000 0.000 0.500
Cd 0.500 0.500 0.500

(2)
Entry from Alexandria via LeMat-Bulk: crystalline MnCdAsSe2 at its relaxed geometry (PBE-GGA).

Output
Offset from the most stable computed form ... 0 meV per atom
Formation energy without anion corrections ... 0.1775 eV per atom

Unit cell a=4.910 b=4.910 c=4.680 alpha=90.00 beta=90.00 gamma=90.00
Fractional coordinates of all 5 atoms:
As 0.000 0.000 0.500
Mn 0.000 0.000 0.000
Se 0.000 0.500 0.000
Se 0.500 0.000 0.000
Cd 0.500 0.500 0.500

(3)
Entry from Alexandria via LeMat-Bulk: crystalline MnCd2TcAs at its relaxed geometry (PBE-GGA).

Output
Formation energy from the elements ... 1.09 eV/atom

Unit cell a=5.255 b=4.448 c=5.255 alpha=90.00 beta=90.00 gamma=90.00
Fractional coordinates of all 5 atoms:
As 0.500 0.500 0.500
Mn 0.000 0.500 0.000
Tc 0.000 0.000 0.000
Cd 0.000 0.000 0.500
Cd 0.500 0.000 0.000

(4)
Entry from Alexandria via LeMat-Bulk: crystalline MnV2CdAs at its relaxed geometry (PBE-GGA).

Output
Formation energy from the elements ... 0.63 eV/atom

Unit cell a=4.441 b=4.423 c=4.441 alpha=90.00 beta=90.00 gamma=90.00
Fractional coordinates of all 5 atoms:
As 0.000 0.500 0.000
Mn 0.000 0.000 0.000
V 0.000 0.000 0.500
V 0.500 0.000 0.000
Cd 0.500 0.500 0.500

(5)
Entry from Alexandria via LeMat-Bulk: crystalline Cd2MoAs2 at its relaxed geometry (PBE-GGA).

Output
Formation energy from the elements ... 0.19 eV/atom

Unit cell a=6.590 b=6.590 c=4.575 alpha=90.00 beta=90.00 gamma=90.00
Fractional coordinates of all 10 atoms:
Mo 0.000 0.000 0.000
Mo 0.500 0.500 0.000
As 0.361 0.861 0.000
As 0.861 0.639 0.000
As 0.639 0.139 0.000
As 0.139 0.361 0.000
Cd 0.185 0.685 0.500
Cd 0.685 0.815 0.500
Cd 0.815 0.315 0.500
Cd 0.315 0.185 0.500

(6)
Entry from Alexandria via LeMat-Bulk: crystalline CdMo3As at its relaxed geometry (PBE-GGA).

Output
Offset from the most stable computed form ... 0 meV per atom
Formation energy from the elements ... 1.06 eV/atom

Unit cell a=4.644 b=4.644 c=4.644 alpha=90.00 beta=90.00 gamma=90.00
Fractional coordinates of all 5 atoms:
Mo 0.000 0.500 0.000
Mo 0.000 0.000 0.500
Mo 0.500 0.000 0.000
As 0.000 0.000 0.000
Cd 0.500 0.500 0.500

(7)
Entry from Alexandria via LeMat-Bulk: crystalline Cd2MoAs at its relaxed geometry (PBE-GGA).

Output
Formation energy from the elements ... 0.46 eV/atom

Unit cell a=9.706 b=9.706 c=9.706 alpha=18.14 beta=18.14 gamma=18.14
Fractional coordinates of all 4 atoms:
Mo 0.250 0.250 0.250
As 0.750 0.750 0.750
Cd 0.998 0.998 0.998
Cd 0.502 0.502 0.502

(8)
Entry from Alexandria via LeMat-Bulk: crystalline Cd2MoAs at its relaxed geometry (PBE-GGA).

Output
Formation energy from the elements ... 0.58 eV/atom

Unit cell a=4.759 b=4.759 c=4.759 alpha=60.00 beta=60.00 gamma=60.00
Fractional coordinates of all 4 atoms:
Mo 0.750 0.750 0.750
As 0.500 0.500 0.500
Cd 0.000 0.000 0.000
Cd 0.250 0.250 0.250

(9)
Entry from Alexandria via LeMat-Bulk: crystalline Cd2MoAs at its relaxed geometry (PBE-GGA).

Output
Formation energy from the elements ... 0.43 eV/atom

Unit cell a=3.454 b=4.300 c=5.023 alpha=90.00 beta=90.00 gamma=90.00
Fractional coordinates of all 4 atoms:
Mo 0.500 0.000 0.500
As 0.000 0.500 0.500
Cd 0.000 0.000 0.000
Cd 0.500 0.500 0.000

(10)
Entry from Alexandria via LeMat-Bulk: crystalline Cd2MoAs at its relaxed geometry (PBE-GGA).

Output
Formation energy from the elements ... 0.40 eV/atom

Unit cell a=6.212 b=5.347 c=3.042 alpha=90.15 beta=60.38 gamma=116.12
Fractional coordinates of all 4 atoms:
Mo 0.000 0.500 0.500
As 0.500 0.500 0.000
Cd 0.000 0.000 0.000
Cd 0.500 0.000 0.500

(11)
Entry from Alexandria via LeMat-Bulk: crystalline Cd2MoAs at its relaxed geometry (PBE-GGA).

Output
Formation energy from the elements ... 0.38 eV/atom

Unit cell a=5.248 b=2.858 c=5.474 alpha=68.94 beta=90.00 gamma=90.00
Fractional coordinates of all 4 atoms:
Mo 0.500 0.250 0.250
As 0.500 0.750 0.750
Cd 0.000 0.762 0.003
Cd 0.000 0.738 0.497

(12)
Entry from Alexandria via LeMat-Bulk: crystalline Cd2MoAs at its relaxed geometry (PBE-GGA).

Output
Formation energy from the elements ... 0.41 eV/atom

Unit cell a=2.872 b=2.872 c=9.455 alpha=90.00 beta=90.00 gamma=90.00
Fractional coordinates of all 4 atoms:
Mo 0.500 0.500 0.250
As 0.500 0.500 0.750
Cd 0.000 0.000 0.018
Cd 0.000 0.000 0.482

(13)
Entry from Alexandria via LeMat-Bulk: crystalline Cd2MoAs at its relaxed geometry (PBE-GGA).

Output
Formation energy from the elements ... 0.32 eV/atom

Unit cell a=5.062 b=5.062 c=5.469 alpha=83.89 beta=83.89 gamma=33.00
Fractional coordinates of all 4 atoms:
Mo 0.503 0.503 0.531
As 0.765 0.765 0.700
Cd 0.992 0.992 0.021
Cd 0.240 0.240 0.248

(14)
Entry from Alexandria via LeMat-Bulk: crystalline Cd2MoAs at its relaxed geometry (PBE-GGA).

Output
Formation energy from the elements ... 0.28 eV/atom

Unit cell a=4.706 b=2.866 c=5.819 alpha=75.70 beta=90.00 gamma=90.00
Fractional coordinates of all 4 atoms:
Mo 0.000 0.678 0.520
As 0.500 0.576 0.721
Cd 0.000 0.940 0.996
Cd 0.500 0.306 0.263

(15)
Entry from Alexandria via LeMat-Bulk: crystalline Cd3MoAs at its relaxed geometry (PBE-GGA).

Output
Offset from the most stable computed form ... 0 meV per atom
Formation energy from the elements ... 1.12 eV/atom

Unit cell a=5.226 b=5.226 c=5.226 alpha=90.00 beta=90.00 gamma=90.00
Fractional coordinates of all 5 atoms:
Mo 0.500 0.500 0.500
As 0.000 0.000 0.000
Cd 0.000 0.500 0.000
Cd 0.000 0.000 0.500
Cd 0.500 0.000 0.000

(16)
Entry from Alexandria via LeMat-Bulk: crystalline CdMo3As at its relaxed geometry (PBE-GGA).

Output
Offset from the most stable computed form ... 1489 meV per atom
Formation energy from the elements ... 2.55 eV/atom

Unit cell a=4.917 b=4.917 c=4.917 alpha=90.00 beta=90.00 gamma=90.00
Fractional coordinates of all 5 atoms:
Mo 0.000 0.500 0.000
Mo 0.000 0.000 0.500
Mo 0.500 0.000 0.000
As 0.500 0.500 0.500
Cd 0.000 0.000 0.000

(17)
Entry from Alexandria via LeMat-Bulk: crystalline Cd2MoAs at its relaxed geometry (PBE-GGA).

Output
Formation energy from the elements ... 0.60 eV/atom

Unit cell a=8.011 b=8.011 c=6.239 alpha=50.06 beta=50.06 gamma=90.00
Fractional coordinates of all 8 atoms:
Mo 0.000 0.000 0.000
Mo 0.750 0.250 0.500
As 0.500 0.500 0.000
As 0.250 0.750 0.500
Cd 0.602 0.125 0.250
Cd 0.148 0.625 0.250
Cd 0.375 0.398 0.750
Cd 0.875 0.852 0.750

(18)
Entry from Alexandria via LeMat-Bulk: crystalline Cd2MoAs at its relaxed geometry (PBE-GGA).

Output
Formation energy from the elements ... 0.41 eV/atom

Unit cell a=5.239 b=5.239 c=5.239 alpha=133.26 beta=133.26 gamma=68.25
Fractional coordinates of all 4 atoms:
Mo 0.500 0.500 0.000
As 0.750 0.250 0.500
Cd 0.000 0.000 0.000
Cd 0.250 0.750 0.500

(19)
Entry from Alexandria via LeMat-Bulk: crystalline Cd2MoAs at its relaxed geometry (PBE-GGA).

Output
Formation energy from the elements ... 0.30 eV/atom

Unit cell a=5.820 b=5.820 c=5.820 alpha=146.86 beta=131.23 gamma=60.24
Fractional coordinates of all 4 atoms:
Mo 0.472 0.472 0.000
As 0.292 0.792 0.500
Cd 0.012 0.012 0.000
Cd 0.725 0.225 0.500

(20)
Entry from Alexandria via LeMat-Bulk: crystalline Cd2MoAs at its relaxed geometry (PBE-GGA).

Output
Formation energy from the elements ... 0.37 eV/atom

Unit cell a=5.695 b=5.695 c=5.695 alpha=143.58 beta=136.97 gamma=57.61
Fractional coordinates of all 4 atoms:
Mo 0.750 0.250 0.500
As 0.250 0.750 0.500
Cd 0.008 0.008 0.000
Cd 0.492 0.492 0.000

(21)
Entry from Alexandria via LeMat-Bulk: crystalline Cd2MoAs at its relaxed geometry (PBE-GGA).

Output
Formation energy from the elements ... 0.10 eV/atom

Unit cell a=3.292 b=3.292 c=7.160 alpha=90.00 beta=90.00 gamma=90.00
Fractional coordinates of all 4 atoms:
Mo 0.000 0.000 0.549
As 0.500 0.500 0.696
Cd 0.000 0.000 0.983
Cd 0.500 0.500 0.272

(22)
Entry from Alexandria via LeMat-Bulk: crystalline Cd3MoAs at its relaxed geometry (PBE-GGA).

Output
Offset from the most stable computed form ... 142 meV per atom
Formation energy from the elements ... 1.27 eV/atom

Unit cell a=5.367 b=5.367 c=5.367 alpha=90.00 beta=90.00 gamma=90.00
Fractional coordinates of all 5 atoms:
Mo 0.000 0.000 0.000
As 0.500 0.500 0.500
Cd 0.000 0.500 0.000
Cd 0.000 0.000 0.500
Cd 0.500 0.000 0.000

(23)
Entry from Alexandria via LeMat-Bulk: crystalline Cd2MoAs at its relaxed geometry (PBE-GGA).

Output
Formation energy from the elements ... 0.20 eV/atom

Unit cell a=2.895 b=2.895 c=10.926 alpha=90.00 beta=90.00 gamma=110.82
Fractional coordinates of all 4 atoms:
Mo 0.000 0.000 0.511
As 0.500 0.500 0.685
Cd 0.000 0.000 0.017
Cd 0.500 0.500 0.287

(24)
Entry from Alexandria via LeMat-Bulk: crystalline Cd2MoAs at its relaxed geometry (PBE-GGA).

Output
Formation energy from the elements ... 0.14 eV/atom

Unit cell a=7.559 b=7.559 c=4.103 alpha=74.31 beta=74.31 gamma=22.11
Fractional coordinates of all 4 atoms:
Mo 0.250 0.250 0.250
As 0.750 0.750 0.750
Cd 0.935 0.935 0.064
Cd 0.565 0.565 0.436

| no. | E (eV/atom) | calculated volume (Å³ per cell) |
| --- | --- | --- |
| 1 | -4.33 | 110.1 |
| 2 | -4.16 | 112.8 |
| 3 | -4.12 | 122.8 |
| 4 | -5.96 | 87.2 |
| 5 | -4.20 | 198.7 |
| 6 | -6.55 | 100.2 |
| 7 | -3.87 | 77.4 |
| 8 | -3.75 | 76.2 |
| 9 | -3.90 | 74.6 |
| 10 | -3.93 | 75.8 |
| 11 | -3.95 | 76.6 |
| 12 | -3.92 | 78.0 |
| 13 | -4.00 | 75.9 |
| 14 | -4.05 | 76.1 |
| 15 | -2.52 | 142.7 |
| 16 | -5.06 | 118.9 |
| 17 | -3.73 | 167.8 |
| 18 | -3.92 | 74.9 |
| 19 | -4.03 | 80.3 |
| 20 | -3.96 | 74.2 |
| 21 | -4.23 | 77.6 |
| 22 | -2.38 | 154.6 |
| 23 | -4.12 | 85.6 |
| 24 | -4.18 | 84.8 |